A plane-wave DFT calculation with PBE-GGA was carried out for a relaxed structure of Rb3Ce2PmSe6.

Summary:
raw formation energy = -1.693 eV/atom
final energy = -5.06 eV per atom

CIF file:
```
data_Rb3Ce2PmSe6
_chemical_formula_sum 'Rb6 Ce4 Pm2 Se12'
_space_group_name_H-M_alt 'C 1 2/m 1'
_space_group_IT_number 12
_cell_length_a 7.611
_cell_length_b 13.183
_cell_length_c 8.383
_cell_angle_alpha 90.00
_cell_angle_beta 107.62
_cell_angle_gamma 90.00
loop_
_space_group_symop_operation_xyz
'x,y,z'
'-x,-y,-z'
'-x,y,-z'
'x,-y,z'
'x+1/2,y+1/2,z'
'-x+1/2,-y+1/2,-z'
'-x+1/2,y+1/2,-z'
'x+1/2,-y+1/2,z'
loop_
_atom_site_label
_atom_site_fract_x
_atom_site_fract_y
_atom_site_fract_z
Rb1 0.000 0.000 0.000
Rb2 0.000 0.333 0.000
Ce1 0.000 0.167 0.500
Pm1 0.000 0.500 0.500
Se1 0.232 0.334 0.700
Se2 0.235 0.000 0.700
```